Entry 1:
Density functional theory data (GGA-PBE) for crystalline AlCr2Fe at its relaxed geometry.

Unit cell a=2.5237 b=2.5237 c=7.9939 alpha=90.00 beta=90.00 gamma=108.33
Last column: nearest neighbours and their distance in Å.
Fractional positions:
Cr: 0.0000 0.0000 0.0083  6 Cr 2.44-2.52, 2 Al 2.57
Cr: 0.5000 0.5000 0.2518  2 Fe 2.44, 6 Cr 2.44-2.52
Fe: 0.0000 0.0000 0.4946  2 Cr 2.44, 2 Al 2.49, 4 Fe 2.52
Al: 0.5000 0.5000 0.7452  2 Fe 2.49, 4 Al 2.52, 2 Cr 2.57

Properties
space group = Cmm2 (35)
polymorph energy (0 for the lowest one) = 0.129 eV/atom
calculated formation energy = -0.01 eV per atom

Entry 2:
Density functional theory data (GGA-PBE) for crystalline NdSm5Ho at its relaxed geometry.

Unit cell a=6.8926 b=6.8926 c=13.8245 alpha=61.60 beta=61.60 gamma=59.92
Last column: nearest neighbours and their distance in Å.
Fractional positions:
Nd: 0.0000 0.0000 0.0000  4 Sm 3.32-3.65
Nd: 0.0000 0.0000 0.5000  4 Sm 3.32-3.65
Sm: 0.1658 0.3945 0.7507  2 Sm 3.01-3.31, 1 Nd 3.32
Sm: 0.6569 0.6896 0.4992  3 Sm 3.31-3.67, 1 Ho 3.34
Sm: 0.3945 0.1658 0.2507  2 Sm 3.01-3.31, 1 Nd 3.32
Sm: 0.1705 0.8295 0.7500  2 Sm 3.01, 1 Ho 3.07
Sm: 0.3104 0.3431 0.0008  3 Sm 3.31-3.67, 1 Ho 3.34
Sm: 0.6896 0.6569 0.9992  3 Sm 3.31-3.67, 1 Ho 3.34
Sm: 0.8295 0.1705 0.2500  2 Sm 3.01, 1 Ho 3.07
Sm: 0.6055 0.8342 0.7493  2 Sm 3.01-3.31, 1 Nd 3.32
Sm: 0.3431 0.3104 0.5008  3 Sm 3.31-3.67, 1 Ho 3.34
Sm: 0.8342 0.6055 0.2493  2 Sm 3.01-3.31, 1 Nd 3.32
Ho: 0.7244 0.2756 0.7500  3 Sm 3.07-3.34
Ho: 0.2756 0.7244 0.2500  3 Sm 3.07-3.34

Properties
space group = C2/c (15)
polymorph energy (0 for the lowest one) = 0.000 eV/atom
calculated formation energy = 0.17 eV per atom